1.
RbZnPb2I: relaxed, GGA-PBEsol.

Properties
Size of the total moment, μB/f.u.: 0.00
Space-group type: P4/mmm
Total energy, eV/atom: -1.978

Lattice parameters (Å, degrees): 6.015 6.015 6.581 90.00 90.00 90.00
Fractional positions:
Zn 0.500 0.500 0.500
Pb 0.000 0.500 0.000
I 0.000 0.000 0.000
Pb 0.500 0.000 0.000
Rb 0.000 0.000 0.500

2.
Cu2Pt: relaxed, GGA-PBEsol.

Properties
Size of the total moment, μB/f.u.: 0.00
Offset from the most stable computed form, meV per atom: 33
Space-group type: I4mm

Lattice parameters (Å, degrees): 2.742 2.742 15.176 95.18 95.18 90.00
Fractional positions:
Cu 0.994 0.994 0.988
Pt 0.552 0.552 0.103
Cu 0.443 0.443 0.887
Cu 0.227 0.227 0.453
Cu 0.777 0.777 0.555
Cu 0.110 0.110 0.220
Pt 0.335 0.335 0.670
Cu 0.893 0.893 0.786
Pt 0.669 0.669 0.337